10
Lattice="3.395 0.000 0.000 0.000 3.395 0.000 0.000 0.000 17.335" Properties=species:S:1:pos:R:3 comment="MgSc5Al4 (GGA-PBE, optimized geometry)" sg="P4/mmm, No. 123" ef_ev_per_atom=-0.37 pbc="T T T"
Mg 0.000 0.000 0.000
Sc 1.698 1.698 1.934
Sc 1.698 1.698 5.317
Sc 1.698 1.698 8.667
Sc 1.698 1.698 12.017
Sc 1.698 1.698 15.400
Al 0.000 0.000 3.602
Al 0.000 0.000 6.992
Al 0.000 0.000 10.342
Al 0.000 0.000 13.732